# 1
# ZrIn2P, relaxed, DFT PBE-GGA
# space-group type	R-3m (166)
# ΔH_f (0 K)	0.22	eV/f.u.
# crystal system	trigonal
# N(E_F)	0.325	states/eV per atom
data_ZrIn2P
_cell_length_a 3.458
_cell_length_b 3.458
_cell_length_c 25.715
_cell_angle_alpha 90.00
_cell_angle_beta 90.00
_cell_angle_gamma 120.00
_symmetry_space_group_name_H-M 'P 1'
_symmetry_Int_Tables_number 1
loop_
_symmetry_equiv_pos_as_xyz
'x,y,z'
loop_
_atom_site_label
_atom_site_fract_x
_atom_site_fract_y
_atom_site_fract_z
_atom_site_occupancy
Zr1 0.000 0.000 0.000 1
Zr2 0.333 0.667 0.667 1
Zr3 0.667 0.333 0.333 1
In1 0.000 0.000 0.238 1
In2 0.000 0.000 0.762 1
In3 0.333 0.667 0.428 1
In4 0.333 0.667 0.905 1
In5 0.667 0.333 0.095 1
In6 0.667 0.333 0.572 1
P1 0.000 0.000 0.500 1
P2 0.333 0.667 0.167 1
P3 0.667 0.333 0.833 1

---

# 2
# ZrInP2, relaxed, DFT PBE-GGA
# space-group type	R3m (160)
# ΔH_f (0 K)	-1.92	eV/f.u.
# crystal system	trigonal
# N(E_F)	0.477	states/eV per atom
data_ZrInP2
_cell_length_a 3.765
_cell_length_b 3.765
_cell_length_c 20.362
_cell_angle_alpha 90.00
_cell_angle_beta 90.00
_cell_angle_gamma 120.00
_symmetry_space_group_name_H-M 'P 1'
_symmetry_Int_Tables_number 1
loop_
_symmetry_equiv_pos_as_xyz
'x,y,z'
loop_
_atom_site_label
_atom_site_fract_x
_atom_site_fract_y
_atom_site_fract_z
_atom_site_occupancy
Zr1 0.000 0.000 0.000 1
Zr2 0.333 0.667 0.667 1
Zr3 0.667 0.333 0.333 1
In1 0.000 0.000 0.834 1
In2 0.333 0.667 0.501 1
In3 0.667 0.333 0.167 1
P1 0.000 0.000 0.414 1
P2 0.000 0.000 0.594 1
P3 0.333 0.667 0.080 1
P4 0.333 0.667 0.261 1
P5 0.667 0.333 0.747 1
P6 0.667 0.333 0.927 1

---

# 3
# ZrIn2P, relaxed, DFT PBE-GGA
# space-group type	Cmmm (65)
# ΔH_f (0 K)	0.68	eV/f.u.
# crystal system	orthorhombic
# N(E_F)	0.865	states/eV per atom
data_ZrIn2P
_cell_length_a 3.958
_cell_length_b 4.989
_cell_length_c 8.745
_cell_angle_alpha 90.00
_cell_angle_beta 90.00
_cell_angle_gamma 90.00
_symmetry_space_group_name_H-M 'P 1'
_symmetry_Int_Tables_number 1
loop_
_symmetry_equiv_pos_as_xyz
'x,y,z'
loop_
_atom_site_label
_atom_site_fract_x
_atom_site_fract_y
_atom_site_fract_z
_atom_site_occupancy
Zr1 0.000 0.000 0.000 1
Zr2 0.500 0.500 0.000 1
In1 0.000 0.500 0.266 1
In2 0.000 0.500 0.734 1
In3 0.500 0.000 0.266 1
In4 0.500 0.000 0.734 1
P1 0.000 0.000 0.500 1
P2 0.500 0.500 0.500 1

---

# 4
# ZrInP2, relaxed, DFT PBE-GGA
# space-group type	C2/m (12)
# ΔH_f (0 K)	-1.29	eV/f.u.
# crystal system	monoclinic
# N(E_F)	0.651	states/eV per atom
data_ZrInP2
_cell_length_a 9.363
_cell_length_b 3.218
_cell_length_c 5.554
_cell_angle_alpha 90.00
_cell_angle_beta 94.34
_cell_angle_gamma 90.00
_symmetry_space_group_name_H-M 'P 1'
_symmetry_Int_Tables_number 1
loop_
_symmetry_equiv_pos_as_xyz
'x,y,z'
loop_
_atom_site_label
_atom_site_fract_x
_atom_site_fract_y
_atom_site_fract_z
_atom_site_occupancy
Zr1 0.000 0.000 0.000 1
Zr2 0.500 0.500 0.000 1
In1 0.000 0.500 0.500 1
In2 0.500 0.000 0.500 1
P1 0.227 0.500 0.142 1
P2 0.273 0.000 0.858 1
P3 0.727 0.000 0.142 1
P4 0.773 0.500 0.858 1

---

# 5
# ZrInP2, relaxed, DFT PBE-GGA
# space-group type	Pmmm (47)
# ΔH_f (0 K)	-1.17	eV/f.u.
# crystal system	orthorhombic
# N(E_F)	0.383	states/eV per atom
data_ZrInP2
_cell_length_a 3.598
_cell_length_b 3.919
_cell_length_c 5.457
_cell_angle_alpha 90.00
_cell_angle_beta 90.00
_cell_angle_gamma 90.00
_symmetry_space_group_name_H-M 'P 1'
_symmetry_Int_Tables_number 1
loop_
_symmetry_equiv_pos_as_xyz
'x,y,z'
loop_
_atom_site_label
_atom_site_fract_x
_atom_site_fract_y
_atom_site_fract_z
_atom_site_occupancy
Zr1 0.000 0.000 0.000 1
In1 0.000 0.500 0.500 1
P1 0.500 0.000 0.500 1
P2 0.500 0.500 0.000 1

---

# 6
# Zr2InP2, relaxed, DFT PBE-GGA
# space-group type	P4/mbm (127)
# ΔH_f (0 K)	-3.73	eV/f.u.
# crystal system	tetragonal
# N(E_F)	0.780	states/eV per atom
data_Zr2InP2
_cell_length_a 7.396
_cell_length_b 7.396
_cell_length_c 3.442
_cell_angle_alpha 90.00
_cell_angle_beta 90.00
_cell_angle_gamma 90.00
_symmetry_space_group_name_H-M 'P 1'
_symmetry_Int_Tables_number 1
loop_
_symmetry_equiv_pos_as_xyz
'x,y,z'
loop_
_atom_site_label
_atom_site_fract_x
_atom_site_fract_y
_atom_site_fract_z
_atom_site_occupancy
Zr1 0.151 0.349 0.000 1
Zr2 0.349 0.849 0.000 1
Zr3 0.651 0.151 0.000 1
Zr4 0.849 0.651 0.000 1
In1 0.000 0.000 0.500 1
In2 0.500 0.500 0.500 1
P1 0.137 0.637 0.500 1
P2 0.363 0.137 0.500 1
P3 0.637 0.863 0.500 1
P4 0.863 0.363 0.500 1

---

# 7
# PaIn, relaxed, DFT PBE-GGA
# space-group type	P4/mmm (123)
# relative energy among the computed polymorphs	0.0	kJ/mol of atoms
# ΔH_f (0 K)	-0.02	eV/f.u.
# crystal system	tetragonal
# N(E_F)	1.902	states/eV per atom
data_PaIn
_cell_length_a 3.131
_cell_length_b 3.131
_cell_length_c 5.024
_cell_angle_alpha 90.00
_cell_angle_beta 90.00
_cell_angle_gamma 90.00
_symmetry_space_group_name_H-M 'P 1'
_symmetry_Int_Tables_number 1
loop_
_symmetry_equiv_pos_as_xyz
'x,y,z'
loop_
_atom_site_label
_atom_site_fract_x
_atom_site_fract_y
_atom_site_fract_z
_atom_site_occupancy
Pa1 0.000 0.000 0.000 1
In1 0.500 0.500 0.500 1

---

# 8
# PaIn, relaxed, DFT PBE-GGA
# space-group type	P2/m (10)
# relative energy among the computed polymorphs	0.7	kJ/mol of atoms
# ΔH_f (0 K)	0.00	eV/f.u.
# crystal system	monoclinic
# N(E_F)	1.855	states/eV per atom
data_PaIn
_cell_length_a 5.906
_cell_length_b 3.130
_cell_length_c 8.217
_cell_angle_alpha 90.00
_cell_angle_beta 104.53
_cell_angle_gamma 90.00
_symmetry_space_group_name_H-M 'P 1'
_symmetry_Int_Tables_number 1
loop_
_symmetry_equiv_pos_as_xyz
'x,y,z'
loop_
_atom_site_label
_atom_site_fract_x
_atom_site_fract_y
_atom_site_fract_z
_atom_site_occupancy
Pa1 0.000 0.000 0.000 1
Pa2 0.158 0.000 0.656 1
Pa3 0.842 0.000 0.344 1
In1 0.326 0.500 0.333 1
In2 0.500 0.500 0.000 1
In3 0.674 0.500 0.667 1

---

no.,M_tot (μB/f.u.)
1,0.00
2,0.00
3,0.00
4,0.00
5,0.00
6,0.00
7,0.48
8,0.21